(1)
This record from the Alexandria database describes a relaxed ScAl3N4 crystal. The functional is PBE-GGA.

E   -61.7 eV/cell
E_form (uncorrected)   -1.355 eV/atom

extended XYZ file:
```
8
Lattice="3.1966 0.0000 0.0000 0.0000 5.4327 -1.1520 0.0000 -0.7006 5.5092" Properties=species:S:1:pos:R:3 pbc="T T T"
Sc 0.0000 1.9832 2.5944
Al 1.5983 2.3189 -0.1682
Al 1.5983 4.7088 2.0323
Al 0.0000 5.0597 -0.7469
N 0.0000 4.0350 2.8660
N 1.5983 4.2794 0.1006
N 1.5983 1.1338 3.5169
N 0.0000 1.5435 0.5720
```

(2)
This record from the Alexandria database describes a relaxed ScAlN3 crystal. The functional is PBE-GGA.

E   -29.8 eV/cell
E_form (uncorrected)   1.054 eV/atom

extended XYZ file:
```
5
Lattice="-0.9076 0.2362 3.9417 -3.1201 -2.5218 -0.5673 2.4202 -3.1625 0.7468" Properties=species:S:1:pos:R:3 pbc="T T T"
Sc 0.0000 0.0000 0.0000
Al -0.8038 -2.7240 2.0606
N -1.5601 -1.2609 -0.2837
N 1.2101 -1.5812 0.3734
N -0.4538 0.1181 1.9708
```

(3)
This record from the Alexandria database describes a relaxed Sc6Al2N crystal. The functional is PBE-GGA.

E   -60.0 eV/cell
E_form (uncorrected)   -0.687 eV/atom

extended XYZ file:
```
9
Lattice="5.4403 0.0029 3.1394 1.8119 5.1297 3.1394 0.0012 0.0008 6.2809" Properties=species:S:1:pos:R:3 pbc="T T T"
Sc 1.8471 1.3073 6.2792
Sc 2.7365 3.8255 4.7382
Sc 4.5168 1.3080 7.8215
Sc 4.5178 1.3086 4.7382
Sc 2.7355 3.8248 7.8215
Sc 5.4062 3.8262 6.2806
Al 1.8133 1.2834 3.1402
Al 5.4400 3.8501 9.4196
N 3.6267 2.5667 6.2799
```

(4)
This record from the Alexandria database describes a relaxed ScAl3N crystal. The functional is PBE-GGA.

Offset from the most stable computed form   2110 meV per atom
E   -15.4 eV/cell
E_form (uncorrected)   2.101 eV/atom

extended XYZ file:
```
5
Lattice="5.2523 0.0000 0.0000 0.0000 5.2523 0.0000 0.0000 0.0000 5.2523" Properties=species:S:1:pos:R:3 pbc="T T T"
Sc 0.0000 0.0000 0.0000
Al 0.0000 2.6262 0.0000
Al 0.0000 0.0000 2.6262
Al 2.6262 0.0000 0.0000
N 2.6262 2.6262 2.6262
```

(5)
This record from the Alexandria database describes a relaxed ScAlSeN2 crystal. The functional is PBE-GGA.

Offset from the most stable computed form   616 meV per atom
E   -27.7 eV/cell
E_form (uncorrected)   0.505 eV/atom

extended XYZ file:
```
5
Lattice="-0.9443 -0.2686 3.8742 -0.8693 -5.5528 -0.5968 3.8346 -0.6956 0.8865" Properties=species:S:1:pos:R:3 pbc="T T T"
Sc 0.0000 0.0000 0.0000
Al 1.0105 -3.2585 2.0819
Se -0.4347 -2.7764 -0.2984
N 1.9173 -0.3478 0.4432
N -0.4722 -0.1343 1.9371
```

(6)
This record from the Alexandria database describes a relaxed ScAlSeN2 crystal. The functional is PBE-GGA.

Offset from the most stable computed form   0 meV per atom
E   -30.8 eV/cell
E_form (uncorrected)   -0.112 eV/atom

extended XYZ file:
```
5
Lattice="3.7529 0.0000 0.0000 0.0000 3.7529 0.0000 0.0000 0.0000 5.2410" Properties=species:S:1:pos:R:3 pbc="T T T"
Sc 1.8764 1.8764 2.6205
Al 0.0000 0.0000 0.0000
Se 0.0000 0.0000 2.6205
N 0.0000 1.8764 0.0000
N 1.8764 0.0000 0.0000
```

(7)
This record from the Alexandria database describes a relaxed ScAlSe2N crystal. The functional is PBE-GGA.

Offset from the most stable computed form   0 meV per atom
E   -27.3 eV/cell
E_form (uncorrected)   -0.390 eV/atom

extended XYZ file:
```
5
Lattice="-3.5037 -1.6442 3.1946 -0.7714 -4.0138 -2.9119 2.5161 -1.8098 1.8281" Properties=species:S:1:pos:R:3 pbc="T T T"
Sc -0.8796 -3.7339 1.0554
Al 0.0000 0.0000 0.0000
Se -0.3857 -2.0069 -1.4560
Se -1.7519 -0.8221 1.5973
N 1.2580 -0.9049 0.9140
```

(8)
This record from the Alexandria database describes a relaxed ScAlSe2N crystal. The functional is PBE-GGA.

Offset from the most stable computed form   444 meV per atom
E   -25.1 eV/cell
E_form (uncorrected)   0.054 eV/atom

extended XYZ file:
```
5
Lattice="-2.5445 2.2788 -3.9849 -4.3592 0.2285 2.9142 1.1127 3.6523 1.3781" Properties=species:S:1:pos:R:3 pbc="T T T"
Sc 0.0000 0.0000 0.0000
Al -2.8955 3.0798 0.1537
Se -2.1796 0.1142 1.4571
Se -1.2723 1.1394 -1.9925
N 0.5563 1.8262 0.6890
```

(9)
This record from the Alexandria database describes a relaxed Sc4AlSnN crystal. The functional is PBE-GGA.

E   -95.3 eV/cell
E_form (uncorrected)   -0.893 eV/atom

extended XYZ file:
```
14
Lattice="6.1621 0.0000 0.0000 0.0000 6.1634 0.0000 -3.0810 0.0000 7.4585" Properties=species:S:1:pos:R:3 pbc="T T T"
Sc 3.0810 1.5408 6.0281
Sc 0.0000 4.6225 6.0751
Sc 0.0000 4.6225 1.4304
Sc 3.0810 1.5408 1.3834
Sc 1.5405 3.0817 3.7293
Sc -1.5405 0.0000 3.7293
Sc 1.5405 0.0000 3.7293
Sc -1.5405 3.0817 3.7293
Al 3.0810 4.6225 1.6552
Al 0.0000 1.5408 5.8033
Sn 0.0000 1.5408 1.5700
Sn 3.0810 4.6225 5.8886
N 0.0000 4.6225 3.7383
N 3.0810 1.5408 3.7202
```

(10)
This record from the Alexandria database describes a relaxed ScAlTc2N crystal. The functional is PBE-GGA.

E   -41.4 eV/cell
E_form (uncorrected)   -0.449 eV/atom

extended XYZ file:
```
5
Lattice="-0.6339 2.7613 -2.9584 -1.4916 -3.0371 -2.5151 -3.7785 0.6685 1.4336" Properties=species:S:1:pos:R:3 pbc="T T T"
Sc -0.7458 -1.5185 -1.2575
N 0.0000 0.0000 0.0000
Tc -1.8892 0.3343 0.7168
Tc -0.3170 1.3807 -1.4792
Al -2.9520 0.1964 -2.0199
```

(11)
This record from the Alexandria database describes a relaxed Sc2AlTcN crystal. The functional is PBE-GGA.

E   -39.1 eV/cell
E_form (uncorrected)   -0.794 eV/atom

extended XYZ file:
```
5
Lattice="-0.8976 -2.3704 3.6744 1.8603 -3.6016 -1.8690 3.4949 1.0205 1.5121" Properties=species:S:1:pos:R:3 pbc="T T T"
Sc 0.9302 -1.8008 -0.9345
Sc -0.4488 -1.1852 1.8372
N 0.0000 0.0000 0.0000
Tc 1.7475 0.5102 0.7561
Al 2.2288 -2.4758 1.6587
```

(12)
This record from the Alexandria database describes a relaxed ScAlTe2N crystal. The functional is PBE-GGA.

Offset from the most stable computed form   0 meV per atom
E   -25.3 eV/cell
E_form (uncorrected)   -0.132 eV/atom

extended XYZ file:
```
5
Lattice="-0.6600 4.7853 2.8369 -5.1443 0.5623 -2.1454 -1.3277 -1.7921 2.7140" Properties=species:S:1:pos:R:3 pbc="T T T"
Sc -3.5660 1.7777 1.7027
Te -2.5721 0.2812 -1.0727
Te -0.3300 2.3926 1.4184
Al 0.0000 0.0000 0.0000
N -0.6639 -0.8960 1.3570
```

(13)
This record from the Alexandria database describes a relaxed ScAlTe2N crystal. The functional is PBE-GGA.

Offset from the most stable computed form   307 meV per atom
E   -23.8 eV/cell
E_form (uncorrected)   0.175 eV/atom

extended XYZ file:
```
5
Lattice="5.7599 0.0000 0.0000 0.0000 5.7599 0.0000 0.0000 0.0000 3.9004" Properties=species:S:1:pos:R:3 pbc="T T T"
Sc 0.0000 0.0000 0.0000
Te 0.0000 2.8799 0.0000
Te 2.8799 0.0000 0.0000
Al 2.8799 2.8799 1.9502
N 0.0000 0.0000 1.9502
```

(14)
This record from the Alexandria database describes a relaxed ScAl2TeN crystal. The functional is PBE-GGA.

E   -16.9 eV/cell
E_form (uncorrected)   1.670 eV/atom

extended XYZ file:
```
5
Lattice="-2.7449 -4.3126 -1.0892 4.2703 -2.9813 1.0429 -1.4582 -0.3368 5.0080" Properties=species:S:1:pos:R:3 pbc="T T T"
Sc 2.1352 -1.4907 0.5215
Te 0.0000 0.0000 0.0000
Al -0.7291 -0.1684 2.5040
Al -1.3724 -2.1563 -0.5446
N 0.0336 -3.8154 2.4808
```

(15)
This record from the Alexandria database describes a relaxed ScTi2AlN crystal. The functional is PBE-GGA.

E   -39.0 eV/cell
E_form (uncorrected)   -0.966 eV/atom

extended XYZ file:
```
5
Lattice="-3.0645 -0.9533 -2.6333 -1.6743 -2.5053 2.8556 -2.3613 3.3344 1.5409" Properties=species:S:1:pos:R:3 pbc="T T T"
Sc -1.1807 1.6672 0.7704
N 0.0000 0.0000 0.0000
Al -3.5501 -0.0621 0.8816
Ti -0.8372 -1.2527 1.4278
Ti -1.5323 -0.4767 -1.3166
```

(16)
This record from the Alexandria database describes a relaxed Tm2ScAlN crystal. The functional is PBE-GGA.

E   -32.3 eV/cell
E_form (uncorrected)   -0.990 eV/atom

extended XYZ file:
```
5
Lattice="4.4504 0.0000 0.0000 0.0000 4.6803 0.0000 0.0000 0.0000 4.6803" Properties=species:S:1:pos:R:3 pbc="T T T"
Tm 0.0000 0.0000 2.3402
Tm 0.0000 2.3402 0.0000
Sc 2.2252 0.0000 0.0000
Al 2.2252 2.3402 2.3402
N 0.0000 0.0000 0.0000
```

(17)
This record from the Alexandria database describes a relaxed Y2ScAlN crystal. The functional is PBE-GGA.

E   -36.2 eV/cell
E_form (uncorrected)   -0.966 eV/atom

extended XYZ file:
```
5
Lattice="-1.0638 3.9260 2.5237 -3.4662 1.0687 -3.1237 -2.9042 -2.3432 2.4210" Properties=species:S:1:pos:R:3 pbc="T T T"
Y -1.7331 0.5344 -1.5618
Y -0.5319 1.9630 1.2618
Sc -1.4521 -1.1716 1.2105
Al -3.7171 1.3258 0.9105
N 0.0000 0.0000 0.0000
```

(18)
This record from the Alexandria database describes a relaxed Zr2ScAlN crystal. The functional is PBE-GGA.

Offset from the most stable computed form   0 meV per atom
E   -40.2 eV/cell
E_form (uncorrected)   -0.946 eV/atom

extended XYZ file:
```
5
Lattice="4.4883 0.0000 0.0000 0.0000 4.4883 0.0000 0.0000 0.0000 4.3738" Properties=species:S:1:pos:R:3 pbc="T T T"
Sc 0.0000 0.0000 2.1869
Al 2.2442 2.2442 2.1869
Zr 0.0000 2.2442 0.0000
Zr 2.2442 0.0000 0.0000
N 0.0000 0.0000 0.0000
```

(19)
This record from the Alexandria database describes a relaxed Zr2ScAlN crystal. The functional is PBE-GGA.

Offset from the most stable computed form   2921 meV per atom
E   -25.6 eV/cell
E_form (uncorrected)   1.975 eV/atom

extended XYZ file:
```
5
Lattice="-1.0894 4.5565 -1.4905 -4.8344 -1.1971 -0.1263 -0.4737 1.4187 4.6833" Properties=species:S:1:pos:R:3 pbc="T T T"
Sc 0.0000 0.0000 0.0000
Al -2.4172 -0.5986 -0.0632
Zr -0.2369 0.7094 2.3416
Zr -0.5447 2.2783 -0.7453
N -3.1987 2.3891 1.5332
```

(20)
This record from the Alexandria database describes a relaxed AlSeN crystal. The functional is PBE-GGA.

E   -33.5 eV/cell
E_form (uncorrected)   -0.400 eV/atom

extended XYZ file:
```
6
Lattice="3.5295 0.4337 -0.3146 0.4579 4.0253 -0.6067 -3.0535 -3.8754 8.4303" Properties=species:S:1:pos:R:3 pbc="T T T"
N -1.7666 0.5266 6.7672
N 2.7005 0.0570 0.7418
Se 0.5559 2.7566 1.9403
Se 0.3780 -2.1730 5.5688
Al 0.0598 0.0058 6.6323
Al 0.8741 0.5778 0.8767
```

(21)
This record from the Alexandria database describes a relaxed AlSeN2 crystal. The functional is PBE-GGA.

Offset from the most stable computed form   1296 meV per atom
E   -18.4 eV/cell
E_form (uncorrected)   1.363 eV/atom

extended XYZ file:
```
4
Lattice="0.0000 2.7663 2.7663 2.7663 0.0000 2.7663 2.7663 2.7663 0.0000" Properties=species:S:1:pos:R:3 pbc="T T T"
Al 0.0000 0.0000 0.0000
Se 2.7663 2.7663 2.7663
N 1.3832 1.3832 1.3832
N 4.1495 4.1495 4.1495
```

(22)
This record from the Alexandria database describes a relaxed AlSeN2 crystal. The functional is PBE-GGA.

Offset from the most stable computed form   746 meV per atom
E   -20.6 eV/cell
E_form (uncorrected)   0.813 eV/atom

extended XYZ file:
```
4
Lattice="1.6077 -5.9254 0.8549 4.2224 -4.5269 -0.3220 3.5338 -4.2659 2.7821" Properties=species:S:1:pos:R:3 pbc="T T T"
Al 0.0000 0.0000 0.0000
Se 4.6819 -7.3591 1.6574
N 8.3866 -13.1821 2.9689
N 0.9773 -1.5361 0.3460
```

(23)
This record from the Alexandria database describes a relaxed AlSeN2 crystal. The functional is PBE-GGA.

Offset from the most stable computed form   0 meV per atom
E   -23.6 eV/cell
E_form (uncorrected)   0.066 eV/atom

extended XYZ file:
```
4
Lattice="-4.5554 -3.4491 1.9860 -2.0834 -4.5984 3.3326 -3.4410 -2.1375 4.4925" Properties=species:S:1:pos:R:3 pbc="T T T"
Al -5.0399 -5.0925 4.9055
Se 0.0000 0.0000 0.0000
N -8.9801 -9.0738 8.7407
N -1.0997 -1.1112 1.0704
```

(24)
This record from the Alexandria database describes a relaxed AlSeN2 crystal. The functional is PBE-GGA.

Offset from the most stable computed form   276 meV per atom
E   -45.0 eV/cell
E_form (uncorrected)   0.343 eV/atom

extended XYZ file:
```
8
Lattice="-2.8265 0.6046 -3.7032 3.3673 -1.6370 -2.8373 -1.4247 -4.9818 -2.7055" Properties=species:S:1:pos:R:3 pbc="T T T"
Al 0.2704 -0.5162 -3.2703
Al 1.1065 -3.5675 -4.4066
Se 0.0000 0.0000 0.0000
Se -1.9904 -2.4467 -4.8395
N -1.5373 -1.1074 -3.1300
N 1.2306 -2.1578 -3.1282
N -0.6697 -4.2188 -4.6470
N -0.7913 -4.5445 -7.5870
```

(25)
This record from the Alexandria database describes a relaxed AlSiSeN2 crystal. The functional is PBE-GGA.

Offset from the most stable computed form   441 meV per atom
E   -25.4 eV/cell
E_form (uncorrected)   0.778 eV/atom

extended XYZ file:
```
5
Lattice="3.6910 0.0000 0.0000 0.0000 3.6910 0.0000 0.0000 0.0000 5.5302" Properties=species:S:1:pos:R:3 pbc="T T T"
Si 1.8455 1.8455 2.7651
Al 0.0000 0.0000 0.0000
Se 0.0000 0.0000 2.7651
N 0.0000 1.8455 0.0000
N 1.8455 0.0000 0.0000
```

(26)
This record from the Alexandria database describes a relaxed AlSiSeN2 crystal. The functional is PBE-GGA.

Offset from the most stable computed form   0 meV per atom
E   -27.6 eV/cell
E_form (uncorrected)   0.337 eV/atom

extended XYZ file:
```
5
Lattice="3.4977 0.0000 0.0000 0.0000 3.4977 0.0000 0.0000 0.0000 6.0200" Properties=species:S:1:pos:R:3 pbc="T T T"
Si 0.0000 0.0000 0.0000
Al 1.7489 1.7489 3.0100
Se 0.0000 0.0000 3.0100
N 0.0000 1.7489 0.0000
N 1.7489 0.0000 0.0000
```

(27)
This record from the Alexandria database describes a relaxed AlSnSe2N crystal. The functional is PBE-GGA.

Offset from the most stable computed form   658 meV per atom
E   -19.5 eV/cell
E_form (uncorrected)   0.706 eV/atom

extended XYZ file:
```
5
Lattice="-4.4320 -2.4755 -1.7604 2.7958 -2.1069 -4.0760 0.8895 -3.2040 2.2663" Properties=species:S:1:pos:R:3 pbc="T T T"
N 0.4447 -1.6020 1.1331
Sn 0.0000 0.0000 0.0000
Se 1.3979 -1.0535 -2.0380
Se -2.2160 -1.2377 -0.8802
Al -0.3734 -3.8932 -1.7851
```

(28)
This record from the Alexandria database describes a relaxed AlSnSe2N crystal. The functional is PBE-GGA.

Offset from the most stable computed form   0 meV per atom
E   -22.8 eV/cell
E_form (uncorrected)   0.048 eV/atom

extended XYZ file:
```
5
Lattice="5.2221 0.0000 0.0000 0.0000 5.2221 0.0000 0.0000 0.0000 3.6075" Properties=species:S:1:pos:R:3 pbc="T T T"
N 0.0000 0.0000 1.8038
Sn 2.6111 2.6111 1.8038
Se 0.0000 2.6111 0.0000
Se 2.6111 0.0000 0.0000
Al 0.0000 0.0000 0.0000
```